VASP calculation (PBE-GGA) on a geometry-optimized Ti3SnAu structure.

Unit cell a=4.8760 b=4.8760 c=4.8760 alpha=90.00 beta=90.00 gamma=90.00
Closest atoms and distances in Å follow each position.
Atoms (fractional coordinates):
Sn 0.5000 0.5000 0.5000  12 Ti 3.45
Ti 0.0000 0.5000 0.0000  2 Au 2.44
Ti 0.0000 0.0000 0.5000  2 Au 2.44
Ti 0.5000 0.0000 0.0000  2 Au 2.44
Au 0.0000 0.0000 0.0000  6 Ti 2.44

Summary:
Energy relative to the lowest polymorph listed for this composition ... 0.596 eV/atom
Formation energy from the elements ... 460 meV per atom
Total energy ... -5.733 eV/atom